Here is crystalline SiNi2GeO6 at its relaxed geometry from Alexandria via LeMat-Bulk. Energies are from PBE+U.

a = 4.626 Å, b = 4.874 Å, c = 4.874 Å
α = 90.00°, β = 90.00°, γ = 90.00°
Fractional coordinates of all 10 atoms:
Si1 0.591 0.000 0.000
Ni1 0.970 0.500 0.000
Ni2 0.970 0.000 0.500
Ge1 0.572 0.500 0.500
O1 0.726 0.244 0.244
O2 0.726 0.244 0.756
O3 0.198 0.500 0.500
O4 0.243 0.000 0.000
O5 0.726 0.756 0.756
O6 0.726 0.756 0.244

Symmetry: P4mm
Electronic total energy in eV/cell: -58.305
M_tot in μB per formula unit: 4.00